(1)
Computed, not measured: TbHfFe4 after structural relaxation at the PBE-GGA level of DFT.

Summary:
As for the symmetry: F-43m (216). For the formation energy, the calculation gives -0.172 eV per atom. The value obtained for the density of states at the Fermi level is 3.51 states/eV per cell. As for the energy relative to the lowest polymorph listed for this composition: 4 meV per atom. For the volume, the calculation gives 15.1 A^3/atom.

Unit cell a=5.0432 b=5.0432 c=5.0432 alpha=60.00 beta=60.00 gamma=60.00
Element x y z (fractional)
Tb (0.2500, 0.2500, 0.2500)
Hf (0.0000, 0.0000, 0.0000)
Fe (0.6256, 0.6256, 0.1233)
Fe (0.6256, 0.1233, 0.6256)
Fe (0.6256, 0.6256, 0.6256)
Fe (0.1233, 0.6256, 0.6256)

---

(2)
Computed, not measured: BaFeAg2 after structural relaxation at the PBE-GGA level of DFT.

Summary:
As for the symmetry: C2/m (12). For the formation energy, the calculation gives 0.586 eV per atom. The value obtained for the density of states at the Fermi level is 5.30 states/eV per cell. As for the energy relative to the lowest polymorph listed for this composition: 387 meV per atom. For the volume, the calculation gives 24.7 A^3/atom.

Unit cell a=7.8008 b=4.7424 c=4.4283 alpha=91.16 beta=53.68 gamma=123.09
Element x y z (fractional)
Ag (0.0000, 0.0000, 0.0000)
Ag (0.5000, 0.0000, 0.5000)
Ba (0.0000, 0.5000, 0.5000)
Fe (0.5000, 0.5000, 0.0000)

---

(3)
Computed, not measured: SrCdAsSe2 after structural relaxation at the PBE-GGA level of DFT.

Summary:
As for the symmetry: P4/mmm (123). For the formation energy without anion corrections, the calculation gives -0.297 eV per atom. The value obtained for the density of states at the Fermi level is 4.69 states/eV per cell. As for the energy relative to the lowest polymorph listed for this composition: 0 meV per atom. For the volume, the calculation gives 29.3 A^3/atom.

Unit cell a=5.3880 b=5.3880 c=5.0492 alpha=90.00 beta=90.00 gamma=90.00
Element x y z (fractional)
Sr (0.5000, 0.5000, 0.5000)
As (0.0000, 0.0000, 0.5000)
Se (0.0000, 0.5000, 0.0000)
Se (0.5000, 0.0000, 0.0000)
Cd (0.0000, 0.0000, 0.0000)